# 1
Compound: Pm2GeS4
Source: Alexandria
Functional: GGA-PBE
Structure: optimized geometry

Unit cell a=6.7790 b=6.7790 c=7.6766 alpha=90.00 beta=90.00 gamma=90.00
Atoms (fractional coordinates):
Pm (0.0000, 0.5000, 0.2500)
Pm (0.0000, 0.5000, 0.7500)
Pm (0.5000, 0.0000, 0.2500)
Pm (0.5000, 0.0000, 0.7500)
Ge (0.0000, 0.0000, 0.0000)
Ge (0.5000, 0.5000, 0.5000)
S (0.2403, 0.2403, 0.5683)
S (0.2403, 0.7597, 0.4317)
S (0.2597, 0.2597, 0.0683)
S (0.2597, 0.7403, 0.9317)
S (0.7403, 0.2597, 0.9317)
S (0.7403, 0.7403, 0.0683)
S (0.7597, 0.2403, 0.4317)
S (0.7597, 0.7597, 0.5683)

Summary:
Space-group type: I-42m
Raw formation energy: -1.24 eV/atom

---

# 2
Compound: YGaSnP2
Source: Alexandria
Functional: GGA-PBE
Structure: optimized geometry

Unit cell a=5.1235 b=5.1235 c=4.9424 alpha=90.00 beta=90.00 gamma=90.00
Atoms (fractional coordinates):
Y (0.0000, 0.0000, 0.0000)
Ga (0.5000, 0.5000, 0.0000)
Sn (0.5000, 0.5000, 0.5000)
P (0.0000, 0.5000, 0.5000)
P (0.5000, 0.0000, 0.5000)

Summary:
Formation energy from the elements: 9.6 kcal/mol of atoms
Space-group type: P4/mmm

---

# 3
Compound: Mo2PdRhN
Source: Alexandria
Functional: GGA-PBE
Structure: optimized geometry

Unit cell a=4.0752 b=4.0752 c=4.1359 alpha=90.00 beta=90.00 gamma=90.00
Atoms (fractional coordinates):
Mo (0.0000, 0.5000, 0.0000)
Mo (0.5000, 0.0000, 0.0000)
Pd (0.0000, 0.0000, 0.5000)
Rh (0.5000, 0.5000, 0.5000)
N (0.5000, 0.5000, 0.0000)

Summary:
Space-group type: P4/mmm
Raw formation energy: -0.08 eV/atom

---

# 4
Compound: Ba2PrRe2N6
Source: Alexandria
Functional: GGA-PBE
Structure: optimized geometry

Unit cell a=6.3347 b=6.3347 c=7.4095 alpha=118.77 beta=118.77 gamma=59.39
Atoms (fractional coordinates):
Ba (0.2140, 0.2140, 0.1879)
Ba (0.7860, 0.7860, 0.8121)
Pr (0.0000, 0.0000, 0.5000)
Re (0.4659, 0.4659, 0.8021)
Re (0.5341, 0.5341, 0.1979)
N (0.2094, 0.6828, 0.2174)
N (0.2694, 0.2694, 0.6368)
N (0.3172, 0.7906, 0.7826)
N (0.6828, 0.2094, 0.2174)
N (0.7306, 0.7306, 0.3632)
N (0.7906, 0.3172, 0.7826)

Summary:
Space-group type: C2/m
Raw formation energy: -0.71 eV/atom

---

# 5
Compound: Ti2RhS
Source: Alexandria
Functional: GGA-PBE
Structure: optimized geometry

Unit cell a=6.6780 b=6.6780 c=5.6400 alpha=90.00 beta=90.00 gamma=90.00
Atoms (fractional coordinates):
Ti (0.2295, 0.2500, 0.1250)
Ti (0.2500, 0.7295, 0.3750)
Ti (0.2500, 0.7705, 0.8750)
Ti (0.2705, 0.2500, 0.6250)
Ti (0.7295, 0.7500, 0.6250)
Ti (0.7500, 0.2295, 0.8750)
Ti (0.7500, 0.2705, 0.3750)
Ti (0.7705, 0.7500, 0.1250)
Rh (0.0000, 0.0000, 0.5000)
Rh (0.0000, 0.5000, 0.7500)
Rh (0.5000, 0.0000, 0.2500)
Rh (0.5000, 0.5000, 0.0000)
S (0.0000, 0.0000, 0.0000)
S (0.0000, 0.5000, 0.2500)
S (0.5000, 0.0000, 0.7500)
S (0.5000, 0.5000, 0.5000)

Summary:
Space-group type: I-42d
Raw formation energy: -0.55 eV/atom

---

# 6
Compound: Ba2NaMg12Zn3
Source: Alexandria
Functional: GGA-PBE
Structure: optimized geometry

Unit cell a=9.3051 b=9.3051 c=9.3051 alpha=57.63 beta=57.63 gamma=57.63
Atoms (fractional coordinates):
Ba (0.0843, 0.0843, 0.0843)
Ba (0.9157, 0.9157, 0.9157)
Na (0.5000, 0.5000, 0.5000)
Mg (0.0338, 0.6637, 0.6637)
Mg (0.2731, 0.2731, 0.6209)
Mg (0.2731, 0.6209, 0.2731)
Mg (0.3363, 0.3363, 0.9662)
Mg (0.3363, 0.9662, 0.3363)
Mg (0.3791, 0.7269, 0.7269)
Mg (0.6209, 0.2731, 0.2731)
Mg (0.6637, 0.0338, 0.6637)
Mg (0.6637, 0.6637, 0.0338)
Mg (0.7269, 0.3791, 0.7269)
Mg (0.7269, 0.7269, 0.3791)
Mg (0.9662, 0.3363, 0.3363)
Zn (0.0000, 0.5000, 0.5000)
Zn (0.5000, 0.0000, 0.5000)
Zn (0.5000, 0.5000, 0.0000)

Summary:
Formation energy from the elements: 5.0 kcal/mol of atoms
Space-group type: R-3m

---

# 7
Compound: NbCdB3
Source: Alexandria
Functional: GGA-PBE
Structure: optimized geometry

Unit cell a=4.3090 b=4.3090 c=4.3090 alpha=90.00 beta=90.00 gamma=90.00
Atoms (fractional coordinates):
Nb (0.0000, 0.0000, 0.0000)
Cd (0.5000, 0.5000, 0.5000)
B (0.0000, 0.0000, 0.5000)
B (0.0000, 0.5000, 0.0000)
B (0.5000, 0.0000, 0.0000)

Summary:
Formation energy from the elements: 32.6 kcal/mol of atoms
Space-group type: Pm-3m
Excess energy over the best structure of this formula in the dataset: 0.00 eV per formula unit

---

# 8
Compound: Nd2CuSi3Rh2
Source: Alexandria
Functional: GGA-PBE
Structure: optimized geometry

Unit cell a=4.1241 b=4.1332 c=17.2026 alpha=90.00 beta=90.00 gamma=90.00
Atoms (fractional coordinates):
Nd (0.0000, 0.0000, 0.0000)
Nd (0.0000, 0.5000, 0.5000)
Nd (0.5000, 0.0000, 0.2067)
Nd (0.5000, 0.5000, 0.7067)
Cu (0.5000, 0.0000, 0.5690)
Cu (0.5000, 0.5000, 0.0690)
Si (0.0000, 0.0000, 0.6366)
Si (0.0000, 0.0000, 0.7791)
Si (0.0000, 0.5000, 0.1366)
Si (0.0000, 0.5000, 0.2791)
Si (0.5000, 0.0000, 0.4283)
Si (0.5000, 0.5000, 0.9283)
Rh (0.0000, 0.0000, 0.3532)
Rh (0.0000, 0.5000, 0.8532)
Rh (0.5000, 0.0000, 0.8539)
Rh (0.5000, 0.5000, 0.3539)

Summary:
Space-group type: Amm2
Excess energy over the best structure of this formula in the dataset: 0.00 eV per formula unit
Raw formation energy: -0.92 eV/atom

---

# 9
Compound: Y2TiCuO
Source: Alexandria
Functional: GGA-PBE
Structure: optimized geometry

Unit cell a=4.8522 b=4.8522 c=3.9649 alpha=90.00 beta=90.00 gamma=90.00
Atoms (fractional coordinates):
Y (0.0000, 0.5000, 0.0000)
Y (0.5000, 0.0000, 0.0000)
Ti (0.0000, 0.0000, 0.5000)
Cu (0.5000, 0.5000, 0.5000)
O (0.0000, 0.0000, 0.0000)

Summary:
Space-group type: P4/mmm
Raw formation energy: -1.11 eV/atom

---

# 10
Compound: Tb2ErPt3
Source: Alexandria
Functional: GGA-PBE
Structure: optimized geometry

Unit cell a=4.9644 b=14.9225 c=3.4538 alpha=90.00 beta=90.00 gamma=90.00
Atoms (fractional coordinates):
Tb (0.2500, 0.0835, 0.9995)
Tb (0.2500, 0.4165, 0.9995)
Tb (0.7500, 0.5835, 0.0005)
Tb (0.7500, 0.9165, 0.0005)
Er (0.2500, 0.7500, 0.0006)
Er (0.7500, 0.2500, 0.9994)
Pt (0.2500, 0.2500, 0.5004)
Pt (0.2500, 0.5875, 0.5013)
Pt (0.2500, 0.9125, 0.5013)
Pt (0.7500, 0.0875, 0.4987)
Pt (0.7500, 0.4125, 0.4987)
Pt (0.7500, 0.7500, 0.4996)

Summary:
Formation energy from the elements: -28.2 kcal/mol of atoms
Space-group type: Pmmn
Excess energy over the best structure of this formula in the dataset: 0.00 eV per formula unit

---

# 11
Compound: Ag8Pd5Au
Source: Alexandria
Functional: GGA-PBE
Structure: optimized geometry

Unit cell a=6.9133 b=6.9133 c=6.9133 alpha=109.69 beta=109.69 gamma=109.03
Atoms (fractional coordinates):
Ag (0.1373, 0.4354, 0.0688)
Ag (0.3666, 0.0685, 0.9312)
Ag (0.4184, 0.1449, 0.3978)
Ag (0.5646, 0.6334, 0.7019)
Ag (0.7471, 0.0206, 0.6022)
Ag (0.8551, 0.2529, 0.2734)
Ag (0.9315, 0.8627, 0.2981)
Ag (0.9794, 0.5816, 0.7266)
Pd (0.0000, 0.0000, 0.0000)
Pd (0.2171, 0.3017, 0.6969)
Pd (0.4798, 0.7829, 0.0846)
Pd (0.6048, 0.5202, 0.3031)
Pd (0.6983, 0.3952, 0.9154)
Au (0.2500, 0.7500, 0.5000)

Summary:
Formation energy from the elements: 3.2 kcal/mol of atoms
Space-group type: I-4

---

# 12
Compound: Ni2RhW
Source: Alexandria
Functional: GGA-PBE
Structure: optimized geometry

Unit cell a=5.9144 b=5.9144 c=5.9144 alpha=90.00 beta=90.00 gamma=90.00
Atoms (fractional coordinates):
Ni (0.2500, 0.2500, 0.2500)
Ni (0.2500, 0.2500, 0.7500)
Ni (0.2500, 0.7500, 0.2500)
Ni (0.2500, 0.7500, 0.7500)
Ni (0.7500, 0.2500, 0.2500)
Ni (0.7500, 0.2500, 0.7500)
Ni (0.7500, 0.7500, 0.2500)
Ni (0.7500, 0.7500, 0.7500)
Rh (0.0000, 0.0000, 0.0000)
Rh (0.0000, 0.5000, 0.5000)
Rh (0.5000, 0.0000, 0.5000)
Rh (0.5000, 0.5000, 0.0000)
W (0.0000, 0.0000, 0.5000)
W (0.0000, 0.5000, 0.0000)
W (0.5000, 0.0000, 0.0000)
W (0.5000, 0.5000, 0.5000)

Summary:
Formation energy from the elements: 1.4 kcal/mol of atoms
Space-group type: Fm-3m
Excess energy over the best structure of this formula in the dataset: 0.86 eV per formula unit

---

# 13
Compound: LiSi2Ru
Source: Alexandria
Functional: GGA-PBE
Structure: optimized geometry

Unit cell a=2.8275 b=3.5136 c=5.1826 alpha=90.00 beta=90.00 gamma=90.00
Atoms (fractional coordinates):
Li (0.0000, 0.0000, 0.0000)
Si (0.5000, 0.5000, 0.2530)
Si (0.5000, 0.5000, 0.7470)
Ru (0.0000, 0.0000, 0.5000)

Summary:
Space-group type: Pmmm
Excess energy over the best structure of this formula in the dataset: 0.29 eV per formula unit
Raw formation energy: -0.27 eV/atom

---

# 14
Compound: NdDy4Er3
Source: Alexandria
Functional: GGA-PBE
Structure: optimized geometry

Unit cell a=5.6366 b=25.9962 c=3.5476 alpha=90.00 beta=90.00 gamma=90.00
Atoms (fractional coordinates):
Nd (0.0000, 0.0000, 0.0000)
Nd (0.5000, 0.5000, 0.0000)
Dy (0.0000, 0.1053, 0.5000)
Dy (0.0000, 0.2242, 0.5000)
Dy (0.0000, 0.7758, 0.5000)
Dy (0.0000, 0.8947, 0.5000)
Dy (0.5000, 0.2758, 0.5000)
Dy (0.5000, 0.3947, 0.5000)
Dy (0.5000, 0.6053, 0.5000)
Dy (0.5000, 0.7242, 0.5000)
Er (0.0000, 0.3442, 0.0000)
Er (0.0000, 0.5000, 0.5000)
Er (0.0000, 0.6558, 0.0000)
Er (0.5000, 0.0000, 0.5000)
Er (0.5000, 0.1558, 0.0000)
Er (0.5000, 0.8442, 0.0000)

Summary:
Formation energy from the elements: 5.2 kcal/mol of atoms
Space-group type: Cmmm
Excess energy over the best structure of this formula in the dataset: 1.74 eV per formula unit

---

# 15
Compound: MnNbPd4
Source: Alexandria
Functional: GGA-PBE
Structure: optimized geometry

Unit cell a=9.3534 b=2.8745 c=7.6100 alpha=90.00 beta=114.11 gamma=90.00
Atoms (fractional coordinates):
Mn (0.0000, 0.0000, 0.0000)
Mn (0.5000, 0.5000, 0.0000)
Nb (0.0000, 0.0000, 0.5000)
Nb (0.5000, 0.5000, 0.5000)
Pd (0.1586, 0.5000, 0.8358)
Pd (0.1682, 0.5000, 0.3283)
Pd (0.3318, 0.0000, 0.6717)
Pd (0.3414, 0.0000, 0.1642)
Pd (0.6586, 0.0000, 0.8358)
Pd (0.6682, 0.0000, 0.3283)
Pd (0.8318, 0.5000, 0.6717)
Pd (0.8414, 0.5000, 0.1642)

Summary:
Formation energy from the elements: -6.8 kcal/mol of atoms
Space-group type: C2/m
Excess energy over the best structure of this formula in the dataset: 0.00 eV per formula unit

---

# 16
Compound: KCu2Mo
Source: Alexandria
Functional: GGA-PBE
Structure: optimized geometry

Unit cell a=2.6437 b=3.9004 c=7.4764 alpha=90.00 beta=90.10 gamma=90.00
Atoms (fractional coordinates):
K (0.0000, 0.0000, 0.0000)
Cu (0.4992, 0.5000, 0.3311)
Cu (0.5008, 0.5000, 0.6689)
Mo (0.0000, 0.0000, 0.5000)

Summary:
Formation energy from the elements: 13.2 kcal/mol of atoms
Space-group type: P2/m
Excess energy over the best structure of this formula in the dataset: 0.00 eV per formula unit

---

# 17
Compound: BaZrHg
Source: Alexandria
Functional: GGA-PBE
Structure: optimized geometry

Unit cell a=3.7282 b=3.7282 c=13.5249 alpha=90.00 beta=90.00 gamma=90.00
Atoms (fractional coordinates):
Ba (0.0000, 0.0000, 0.0000)
Ba (0.5000, 0.5000, 0.5000)
Zr (0.0000, 0.0000, 0.2928)
Zr (0.5000, 0.5000, 0.7928)
Hg (0.0000, 0.0000, 0.6912)
Hg (0.5000, 0.5000, 0.1912)

Summary:
Formation energy from the elements: 2.5 kcal/mol of atoms
Space-group type: I4mm
Excess energy over the best structure of this formula in the dataset: 0.45 eV per formula unit

---

# 18
Compound: MnBeRe2Ru
Source: Alexandria
Functional: GGA-PBE
Structure: optimized geometry

Unit cell a=4.0961 b=4.0961 c=3.9874 alpha=90.00 beta=90.00 gamma=90.00
Atoms (fractional coordinates):
Mn (0.0000, 0.0000, 0.0000)
Be (0.5000, 0.5000, 0.5000)
Re (0.0000, 0.5000, 0.5000)
Re (0.5000, 0.0000, 0.5000)
Ru (0.5000, 0.5000, 0.0000)

Summary:
Formation energy from the elements: 17.9 kcal/mol of atoms
Space-group type: P4/mmm

---

# 19
Compound: Ce4ThOs4
Source: Alexandria
Functional: GGA-PBE
Structure: optimized geometry

Unit cell a=8.8769 b=8.8769 c=5.6611 alpha=90.00 beta=90.00 gamma=90.00
Atoms (fractional coordinates):
Ce (0.0655, 0.6578, 0.1816)
Ce (0.1578, 0.9345, 0.6816)
Ce (0.3422, 0.5655, 0.6816)
Ce (0.4345, 0.8422, 0.1816)
Ce (0.5655, 0.1578, 0.8184)
Ce (0.6578, 0.4345, 0.3184)
Ce (0.8422, 0.0655, 0.3184)
Ce (0.9345, 0.3422, 0.8184)
Th (0.2500, 0.2500, 0.2500)
Th (0.7500, 0.7500, 0.7500)
Os (0.0384, 0.6188, 0.6681)
Os (0.1188, 0.9616, 0.1681)
Os (0.3812, 0.5384, 0.1681)
Os (0.4616, 0.8812, 0.6681)
Os (0.5384, 0.1188, 0.3319)
Os (0.6188, 0.4616, 0.8319)
Os (0.8812, 0.0384, 0.8319)
Os (0.9616, 0.3812, 0.3319)

Summary:
Formation energy from the elements: -2.9 kcal/mol of atoms
Space-group type: P4_2/n

---

# 20
Compound: CsAlCd
Source: Alexandria
Functional: GGA-PBE
Structure: optimized geometry

Unit cell a=5.5943 b=5.0568 c=7.3489 alpha=90.00 beta=103.73 gamma=90.00
Atoms (fractional coordinates):
Cs (0.2491, 0.2500, 0.4531)
Cs (0.7509, 0.7500, 0.5469)
Al (0.3685, 0.7500, 0.9498)
Al (0.6315, 0.2500, 0.0502)
Cd (0.0968, 0.2500, 0.9237)
Cd (0.9032, 0.7500, 0.0763)

Summary:
Formation energy from the elements: 3.0 kcal/mol of atoms
Space-group type: P2_1/m

---

Number 1: final energy -78.66 eV for the cell shown, density of states at the Fermi level 0.4 states/eV per cell. Number 2: final energy -22.23 eV for the cell shown, density of states at the Fermi level 3.8 states/eV per cell. Number 3: final energy -42.91 eV for the cell shown, density of states at the Fermi level 5.1 states/eV per cell. Number 4: final energy -91.30 eV for the cell shown, density of states at the Fermi level 3.6 states/eV per cell. Number 5: final energy -117.82 eV for the cell shown, density of states at the Fermi level 17.7 states/eV per cell. Number 6: final energy -24.22 eV for the cell shown, density of states at the Fermi level 9.4 states/eV per cell. Number 7: final energy -23.95 eV for the cell shown, density of states at the Fermi level 2.1 states/eV per cell. Number 8: final energy -103.96 eV for the cell shown, density of states at the Fermi level 9.4 states/eV per cell. Number 9: final energy -35.41 eV for the cell shown, density of states at the Fermi level 4.5 states/eV per cell. Number 10: final energy -78.57 eV for the cell shown, density of states at the Fermi level 6.7 states/eV per cell. Number 11: final energy -50.10 eV for the cell shown, density of states at the Fermi level 4.0 states/eV per cell. Number 12: final energy -126.49 eV for the cell shown, density of states at the Fermi level 22.1 states/eV per cell. Number 13: final energy -23.14 eV for the cell shown, density of states at the Fermi level 1.6 states/eV per cell. Number 14: final energy -70.11 eV for the cell shown, density of states at the Fermi level 27.0 states/eV per cell. Number 15: final energy -83.54 eV for the cell shown, density of states at the Fermi level 9.3 states/eV per cell. Number 16: final energy -17.83 eV for the cell shown, density of states at the Fermi level 2.9 states/eV per cell. Number 17: final energy -20.89 eV for the cell shown, density of states at the Fermi level 6.6 states/eV per cell. Number 18: final energy -43.19 eV for the cell shown, density of states at the Fermi level 3.9 states/eV per cell. Number 19: final energy -154.43 eV for the cell shown, density of states at the Fermi level 14.7 states/eV per cell. Number 20: final energy -10.23 eV for the cell shown, density of states at the Fermi level 2.0 states/eV per cell.